# PBE LiNdDyY, relaxed
data_LiNdDyY
_chemical_formula_sum 'Li4 Nd4 Dy4 Y4'
_cell_length_a 7.8469
_cell_length_b 7.8469
_cell_length_c 7.8469
_cell_angle_alpha 90.00
_cell_angle_beta 90.00
_cell_angle_gamma 90.00
_space_group_name_H-M_alt 'F -4 3 m'
_space_group_IT_number 216
_space_group_name_Hall 'F -4 2 3'
loop_
_atom_site_label
_atom_site_type_symbol
_atom_site_fract_x
_atom_site_fract_y
_atom_site_fract_z
_atom_site_occupancy
Li1 Li 0.0000 0.0000 0.0000 1
Nd1 Nd 0.2500 0.2500 0.2500 1
Dy1 Dy 0.0000 0.0000 0.5000 1
Y1 Y 0.2500 0.2500 0.7500 1
# calculated formation energy = 16.38 kJ/mol of atoms
# Fermi-level density of states = 0.960 states/eV/atom
# magnetization = 0.00 Bohr magnetons per cell
# VASP energy = -4.27 eV/atom